Entry 1:
# Ni4PPt GGA-PBE optimized geometry
data_Ni4PPt
_chemical_formula_sum 'Ni16 P4 Pt4'
_cell_length_a 6.659
_cell_length_b 6.659
_cell_length_c 6.659
_cell_angle_alpha 90.00
_cell_angle_beta 90.00
_cell_angle_gamma 90.00
_symmetry_space_group_name_H-M 'F -4 3 m'
_symmetry_Int_Tables_number 216
_symmetry_space_group_name_Hall 'F -4 2 3'
loop_
_atom_site_label
_atom_site_fract_x
_atom_site_fract_y
_atom_site_fract_z
_atom_site_occupancy
Ni1 0.125 0.125 0.125 1
P1 0.250 0.250 0.750 1
Pt1 0.000 0.000 0.500 1
# ΔE_f: 0.20 eV per atom
# E_tot: -133.6 eV per cell



Entry 2:
# Ni3P2Pt2 GGA-PBE optimized geometry
data_Ni3P2Pt2
_chemical_formula_sum 'Ni6 P4 Pt4'
_cell_length_a 8.331
_cell_length_b 3.479
_cell_length_c 6.567
_cell_angle_alpha 90.00
_cell_angle_beta 111.32
_cell_angle_gamma 90.00
_symmetry_space_group_name_H-M 'C 1 2/m 1'
_symmetry_Int_Tables_number 12
loop_
_symmetry_equiv_pos_as_xyz
'x,y,z'
'-x,-y,-z'
'-x,y,-z'
'x,-y,z'
'x+1/2,y+1/2,z'
'-x+1/2,-y+1/2,-z'
'-x+1/2,y+1/2,-z'
'x+1/2,-y+1/2,z'
loop_
_atom_site_label
_atom_site_fract_x
_atom_site_fract_y
_atom_site_fract_z
_atom_site_occupancy
Ni1 0.000 0.000 0.000 1
Ni2 0.127 0.000 0.438 1
P1 0.158 0.500 0.233 1
Pt1 0.141 0.500 0.785 1
# ΔE_f: -0.35 eV per atom
# E_tot: -85.4 eV per cell



Entry 3:
# NiPPt2 GGA-PBE optimized geometry
data_NiPPt2
_chemical_formula_sum 'Ni1 P1 Pt2'
_cell_length_a 3.353
_cell_length_b 3.620
_cell_length_c 5.093
_cell_angle_alpha 90.00
_cell_angle_beta 106.73
_cell_angle_gamma 90.00
_symmetry_space_group_name_H-M 'P 1 2/m 1'
_symmetry_Int_Tables_number 10
loop_
_symmetry_equiv_pos_as_xyz
'x,y,z'
'-x,-y,-z'
'-x,y,-z'
'x,-y,z'
loop_
_atom_site_label
_atom_site_fract_x
_atom_site_fract_y
_atom_site_fract_z
_atom_site_occupancy
Ni1 0.000 0.000 0.000 1
P1 0.000 0.000 0.500 1
Pt1 0.368 0.500 0.733 1
# ΔE_f: -0.10 eV per atom
# E_tot: -23.7 eV per cell



Entry 4:
# NiP2Pt GGA-PBE optimized geometry
data_NiP2Pt
_chemical_formula_sum 'Ni2 P4 Pt2'
_cell_length_a 3.650
_cell_length_b 3.650
_cell_length_c 8.110
_cell_angle_alpha 90.00
_cell_angle_beta 90.00
_cell_angle_gamma 90.00
_symmetry_space_group_name_H-M 'I -4 m 2'
_symmetry_Int_Tables_number 119
_symmetry_space_group_name_Hall 'I -4 -2'
loop_
_atom_site_label
_atom_site_fract_x
_atom_site_fract_y
_atom_site_fract_z
_atom_site_occupancy
Ni1 0.000 0.000 0.000 1
P1 0.000 0.000 0.500 1
P2 0.000 0.500 0.750 1
Pt1 0.000 0.500 0.250 1
# distance to the lowest polymorph of the same formula: 457.8 meV/atom
# ΔE_f: 0.10 eV per atom
# E_tot: -44.5 eV per cell



Entry 5:
# NiPPt2 GGA-PBE optimized geometry
data_NiPPt2
_chemical_formula_sum 'Ni2 P2 Pt4'
_cell_length_a 7.998
_cell_length_b 3.076
_cell_length_c 4.705
_cell_angle_alpha 90.00
_cell_angle_beta 102.35
_cell_angle_gamma 90.00
_symmetry_space_group_name_H-M 'C 1 2/m 1'
_symmetry_Int_Tables_number 12
loop_
_symmetry_equiv_pos_as_xyz
'x,y,z'
'-x,-y,-z'
'-x,y,-z'
'x,-y,z'
'x+1/2,y+1/2,z'
'-x+1/2,-y+1/2,-z'
'-x+1/2,y+1/2,-z'
'x+1/2,-y+1/2,z'
loop_
_atom_site_label
_atom_site_fract_x
_atom_site_fract_y
_atom_site_fract_z
_atom_site_occupancy
Ni1 0.000 0.000 0.000 1
P1 0.000 0.500 0.500 1
Pt1 0.250 0.000 0.748 1
# ΔE_f: -0.07 eV per atom
# E_tot: -47.1 eV per cell



Entry 6:
# Ni2P2Pt GGA-PBE optimized geometry
data_Ni2P2Pt
_chemical_formula_sum 'Ni4 P4 Pt2'
_cell_length_a 6.666
_cell_length_b 6.666
_cell_length_c 2.860
_cell_angle_alpha 90.00
_cell_angle_beta 90.00
_cell_angle_gamma 90.00
_symmetry_space_group_name_H-M 'P 4/m b m'
_symmetry_Int_Tables_number 127
_symmetry_space_group_name_Hall '-P 4 2ab'
loop_
_atom_site_label
_atom_site_fract_x
_atom_site_fract_y
_atom_site_fract_z
_atom_site_occupancy
Ni1 0.134 0.366 0.000 1
P1 0.160 0.660 0.500 1
Pt1 0.000 0.000 0.500 1
# ΔE_f: -0.18 eV per atom
# E_tot: -58.6 eV per cell



What is the ΔE_f in the fifth record?
-0.07 eV per atom



Which value of ΔE_f does entry 6 give?
-0.18 eV per atom